(1)
TaSn2BiCl: optimized geometry, GGA-PBE.

a = 5.4131 Å, b = 5.4131 Å, c = 5.4144 Å
α = 90.00°, β = 90.00°, γ = 90.00°
With the nearest neighbours (Å) after each atom.
Element x y z (fractional)
Ta1 0.0000 0.0000 0.0000  4 Sn 2.71, 2 Bi 2.71
Sn1 0.0000 0.5000 0.0000  2 Ta 2.71
Sn2 0.5000 0.0000 0.0000  2 Ta 2.71
Bi1 0.0000 0.0000 0.5000  2 Ta 2.71
Cl1 0.5000 0.5000 0.5000  4 Bi 3.83, 8 Sn 3.83

Computed properties:
ΔE_f (raw)   0.129 eV/atom
Magnetic moment   0.00 μB per formula unit
Symmetry   P4/mmm (123)

=====

(2)
TlSn2BiCl: optimized geometry, GGA-PBE.

a = 5.7700 Å, b = 5.7700 Å, c = 5.2390 Å
α = 90.00°, β = 90.00°, γ = 90.00°
With the nearest neighbours (Å) after each atom.
Element x y z (fractional)
Tl1 0.0000 0.0000 0.0000  2 Cl 2.62, 4 Sn 2.89
Sn1 0.0000 0.5000 0.0000  2 Tl 2.89
Sn2 0.5000 0.0000 0.0000  2 Tl 2.89
Bi1 0.5000 0.5000 0.5000  8 Sn 3.90, 4 Cl 4.08
Cl1 0.0000 0.0000 0.5000  2 Tl 2.62

Computed properties:
ΔE_f (raw)   0.329 eV/atom
Magnetic moment   0.00 μB per formula unit
Symmetry   P4/mmm (123)